# 1
This record from the Alexandria database describes La3CuIr2 after structural relaxation. The functional is GGA-PBE.

As for the raw total energy: -40.1 eV per formula unit. As for the formation energy: -0.59 eV/atom.

The structure belongs to space group Pnma (No. 62); the cell edges are 12.0283, 4.1911 and 11.8392 Å and the angles 90.00°, 90.00° and 90.00°. Symmetry generates all atoms from La at (0.0590, 0.2500, 0.1253), La at (0.1197, 0.7500, 0.5660), La at (0.1991, 0.2500, 0.8174), Cu at (0.1295, 0.2500, 0.3764), Ir at (0.0159, 0.7500, 0.3173) and Ir at (0.1774, 0.7500, 0.9870).


# 2
This record from the Alexandria database describes BeNb2Rh after structural relaxation. The functional is GGA-PBE.

As for the raw total energy: -29.4 eV per formula unit. As for the formation energy: 0.45 eV/atom.

The structure belongs to space group R-3m (No. 166, hexagonal axes); the cell edges are 2.7838, 2.7838 and 29.4592 Å and the angles 90.00°, 90.00° and 120.00°. Symmetry generates all atoms from Be at (0.0000, 0.0000, 0.0000), Nb at (0.0000, 0.0000, 0.0876) and Rh at (0.0000, 0.0000, 0.5000).


# 3
This record from the Alexandria database describes LiPrCd after structural relaxation. The functional is GGA-PBE.

As for the raw total energy: -8.2 eV per formula unit. As for the offset from the most stable computed form: 0 kJ/mol of formula units. As for the formation energy: -0.20 eV/atom.

The structure belongs to space group P-6m2 (No. 187); the cell edges are 5.0888, 5.0888 and 3.3768 Å and the angles 90.00°, 90.00° and 120.00°. Symmetry generates all atoms from Li at (0.0000, 0.0000, 0.0000), Pr at (0.6667, 0.3333, 0.5000) and Cd at (0.3333, 0.6667, 0.0000).


Please write out number 3 again, unchanged.
This record from the Alexandria database describes LiPrCd after structural relaxation. The functional is GGA-PBE.

As for the raw total energy: -8.2 eV per formula unit. As for the offset from the most stable computed form: 0 kJ/mol of formula units. As for the formation energy: -0.20 eV/atom.

The structure belongs to space group P-6m2 (No. 187); the cell edges are 5.0888, 5.0888 and 3.3768 Å and the angles 90.00°, 90.00° and 120.00°. Symmetry generates all atoms from Li at (0.0000, 0.0000, 0.0000), Pr at (0.6667, 0.3333, 0.5000) and Cd at (0.3333, 0.6667, 0.0000).